Entry 1:
An optimized crystal structure of Ac2ReS6, computed with PBE.

abc: 6.259 7.532 10.994
angles: 90.00 122.93 90.00
Element x y z (fractional)
Ac (0.210, 0.102, 0.258)
Ac (0.210, 0.398, 0.758)
Ac (0.790, 0.602, 0.242)
Ac (0.790, 0.898, 0.742)
Re (0.500, 0.000, 0.000)
Re (0.500, 0.500, 0.500)
S (0.138, 0.164, 0.961)
S (0.138, 0.336, 0.461)
S (0.294, 0.720, 0.963)
S (0.294, 0.780, 0.463)
S (0.320, 0.013, 0.745)
S (0.320, 0.487, 0.245)
S (0.680, 0.513, 0.755)
S (0.680, 0.987, 0.255)
S (0.706, 0.220, 0.537)
S (0.706, 0.280, 0.037)
S (0.862, 0.664, 0.539)
S (0.862, 0.836, 0.039)

Values from the calculation:
Mass density: 6.4 Mg/m³
Total moment: 0.87 μB per formula unit
Volume: 217 Å³/f.u.



Entry 2:
An optimized crystal structure of AcReS2, computed with PBE.

abc: 8.079 8.079 8.079
angles: 27.64 27.64 27.64
Element x y z (fractional)
Ac (0.000, 0.000, 0.000)
Re (0.500, 0.500, 0.500)
S (0.124, 0.124, 0.124)
S (0.876, 0.876, 0.876)

Values from the calculation:
Mass density: 7.9 Mg/m³
Total moment: 0.01 μB per formula unit
Volume: 100 Å³/f.u.



Entry 3:
An optimized crystal structure of Ac2ReS, computed with PBE.

abc: 10.007 10.007 10.007
angles: 21.41 21.41 21.41
Element x y z (fractional)
Ac (0.096, 0.096, 0.096)
Ac (0.904, 0.904, 0.904)
Re (0.000, 0.000, 0.000)
S (0.500, 0.500, 0.500)

Values from the calculation:
Mass density: 9.5 Mg/m³
Total moment: 0.76 μB per formula unit
Volume: 117 Å³/f.u.



Entry 4:
An optimized crystal structure of AcScReSi2, computed with PBE.

abc: 6.545 6.545 6.545
angles: 142.45 142.45 54.15
Element x y z (fractional)
Ac (0.000, 0.000, 0.000)
Sc (0.250, 0.750, 0.500)
Re (0.750, 0.250, 0.500)
Si (0.387, 0.387, 0.000)
Si (0.613, 0.613, 0.000)

Values from the calculation:
Mass density: 8.3 Mg/m³
Total moment: 0.00 μB per formula unit
Volume: 103 Å³/f.u.



Entry 5:
An optimized crystal structure of AcRe4Se7, computed with PBE.

abc: 17.988 5.370 5.166
angles: 90.00 90.00 90.00
Element x y z (fractional)
Ac (0.000, 0.157, 0.000)
Ac (0.500, 0.843, 0.500)
Re (0.141, 0.678, 0.574)
Re (0.243, 0.628, 0.968)
Re (0.257, 0.372, 0.468)
Re (0.359, 0.322, 0.074)
Re (0.641, 0.322, 0.074)
Re (0.743, 0.372, 0.468)
Re (0.757, 0.628, 0.968)
Re (0.859, 0.678, 0.574)
Se (0.000, 0.797, 0.516)
Se (0.102, 0.665, 0.032)
Se (0.123, 0.211, 0.482)
Se (0.238, 0.170, 0.921)
Se (0.262, 0.830, 0.421)
Se (0.377, 0.789, 0.982)
Se (0.398, 0.335, 0.532)
Se (0.500, 0.203, 0.016)
Se (0.602, 0.335, 0.532)
Se (0.623, 0.789, 0.982)
Se (0.738, 0.830, 0.421)
Se (0.762, 0.170, 0.921)
Se (0.877, 0.211, 0.482)
Se (0.898, 0.665, 0.032)

Values from the calculation:
Mass density: 10.1 Mg/m³
Total moment: 0.00 μB per formula unit
Volume: 249 Å³/f.u.



Entry 6:
An optimized crystal structure of Ac2ReSi5, computed with PBE.

abc: 6.383 6.383 6.383
angles: 123.60 123.60 83.87
Element x y z (fractional)
Ac (0.000, 0.500, 0.500)
Ac (0.500, 0.000, 0.500)
Re (0.298, 0.298, 0.000)
Si (0.542, 0.542, 0.583)
Si (0.542, 0.960, 0.000)
Si (0.556, 0.556, 0.000)
Si (0.960, 0.542, 0.000)
Si (0.960, 0.960, 0.417)

Values from the calculation:
Mass density: 7.5 Mg/m³
Total moment: 0.00 μB per formula unit
Volume: 173 Å³/f.u.



Entry 7:
An optimized crystal structure of AcRe3Si3, computed with PBE.

abc: 8.615 4.417 8.616
angles: 90.00 119.82 90.00
Element x y z (fractional)
Ac (0.166, 0.250, 0.333)
Ac (0.834, 0.750, 0.667)
Re (0.297, 0.750, 0.955)
Re (0.343, 0.250, 0.797)
Re (0.454, 0.250, 0.157)
Re (0.546, 0.750, 0.843)
Re (0.657, 0.750, 0.203)
Re (0.703, 0.250, 0.045)
Si (0.127, 0.250, 0.921)
Si (0.207, 0.750, 0.628)
Si (0.420, 0.750, 0.294)
Si (0.580, 0.250, 0.706)
Si (0.793, 0.250, 0.372)
Si (0.873, 0.750, 0.079)

Values from the calculation:
Mass density: 10.2 Mg/m³
Total moment: 0.00 μB per formula unit
Volume: 142 Å³/f.u.



Entry 8:
An optimized crystal structure of AcReSi2, computed with PBE.

abc: 4.698 4.698 4.698
angles: 63.34 63.34 63.34
Element x y z (fractional)
Ac (0.000, 0.000, 0.000)
Re (0.500, 0.500, 0.500)
Si (0.264, 0.264, 0.264)
Si (0.736, 0.736, 0.736)

Values from the calculation:
Mass density: 9.9 Mg/m³
Total moment: 0.00 μB per formula unit
Volume: 79 Å³/f.u.



Entry 9:
An optimized crystal structure of AcReSi2, computed with PBE.

abc: 3.249 3.249 7.233
angles: 90.00 90.00 90.00
Element x y z (fractional)
Ac (0.000, 0.000, 0.000)
Re (0.000, 0.000, 0.500)
Si (0.500, 0.500, 0.321)
Si (0.500, 0.500, 0.679)

Values from the calculation:
Mass density: 10.2 Mg/m³
Total moment: 0.00 μB per formula unit
Volume: 76 Å³/f.u.



Entry 10:
An optimized crystal structure of Ac3Re2Si9, computed with PBE.

abc: 8.357 8.357 8.357
angles: 150.66 98.13 89.25
Element x y z (fractional)
Ac (0.000, 0.000, 0.000)
Ac (0.313, 0.313, 0.000)
Ac (0.687, 0.687, 0.000)
Re (0.278, 0.500, 0.778)
Re (0.722, 0.500, 0.222)
Si (0.013, 0.669, 0.344)
Si (0.161, 0.881, 0.281)
Si (0.326, 0.669, 0.656)
Si (0.400, 0.119, 0.281)
Si (0.500, 0.000, 0.500)
Si (0.600, 0.881, 0.719)
Si (0.674, 0.331, 0.344)
Si (0.839, 0.119, 0.719)
Si (0.987, 0.331, 0.656)

Values from the calculation:
Mass density: 7.9 Mg/m³
Total moment: 0.00 μB per formula unit
Volume: 276 Å³/f.u.



Entry 11:
An optimized crystal structure of AcReSi2, computed with PBE.

abc: 7.295 4.373 10.591
angles: 90.00 90.00 90.00
Element x y z (fractional)
Ac (0.151, 0.250, 0.121)
Ac (0.349, 0.750, 0.621)
Ac (0.651, 0.250, 0.379)
Ac (0.849, 0.750, 0.879)
Re (0.010, 0.750, 0.389)
Re (0.490, 0.250, 0.889)
Re (0.510, 0.750, 0.111)
Re (0.990, 0.250, 0.611)
Si (0.168, 0.250, 0.804)
Si (0.169, 0.250, 0.417)
Si (0.331, 0.750, 0.917)
Si (0.332, 0.750, 0.304)
Si (0.668, 0.250, 0.696)
Si (0.669, 0.250, 0.083)
Si (0.831, 0.750, 0.583)
Si (0.832, 0.750, 0.196)

Values from the calculation:
Mass density: 9.2 Mg/m³
Total moment: 0.00 μB per formula unit
Volume: 84 Å³/f.u.



Entry 12:
An optimized crystal structure of AcRe2Si2, computed with PBE.

abc: 11.143 11.143 11.143
angles: 158.21 157.65 31.41
Element x y z (fractional)
Ac (0.412, 0.162, 0.250)
Ac (0.588, 0.838, 0.750)
Re (0.216, 0.966, 0.250)
Re (0.287, 0.537, 0.750)
Re (0.713, 0.463, 0.250)
Re (0.784, 0.034, 0.750)
Si (0.029, 0.279, 0.750)
Si (0.150, 0.400, 0.750)
Si (0.850, 0.600, 0.250)
Si (0.971, 0.721, 0.250)

Values from the calculation:
Mass density: 11.2 Mg/m³
Total moment: 0.00 μB per formula unit
Volume: 98 Å³/f.u.



Number 1: uncorrected formation energy -117.7 kJ per mole of atoms. Number 2: uncorrected formation energy -17.2 kJ per mole of atoms. Number 3: uncorrected formation energy 36.6 kJ per mole of atoms. Number 4: uncorrected formation energy -46.1 kJ per mole of atoms. Number 5: uncorrected formation energy -21.5 kJ per mole of atoms. Number 6: uncorrected formation energy -34.3 kJ per mole of atoms. Number 7: uncorrected formation energy -13.6 kJ per mole of atoms. Number 8: uncorrected formation energy 26.0 kJ per mole of atoms. Number 9: uncorrected formation energy -8.3 kJ per mole of atoms. Number 10: uncorrected formation energy -23.7 kJ per mole of atoms. Number 11: uncorrected formation energy -40.1 kJ per mole of atoms. Number 12: uncorrected formation energy -44.1 kJ per mole of atoms.